# 1
Computed, not measured: a geometry-optimized ScAgCl3 structure at the PBE level of DFT.

Values from the calculation:
Its symmetry is R-3.

Unit cell a=7.644 b=7.644 c=7.644 alpha=50.03 beta=50.03 gamma=50.03
Atoms (fractional coordinates):
Sc (0.163, 0.163, 0.163)
Sc (0.837, 0.837, 0.837)
Ag (0.352, 0.352, 0.352)
Ag (0.648, 0.648, 0.648)
Cl (0.061, 0.429, 0.785)
Cl (0.215, 0.939, 0.571)
Cl (0.429, 0.785, 0.061)
Cl (0.571, 0.215, 0.939)
Cl (0.785, 0.061, 0.429)
Cl (0.939, 0.571, 0.215)

# 2
Computed, not measured: a geometry-optimized ScAgCl3 structure at the PBE level of DFT.

Values from the calculation:
Its symmetry is Pm-3m.

Unit cell a=5.070 b=5.070 c=5.070 alpha=90.00 beta=90.00 gamma=90.00
Atoms (fractional coordinates):
Sc (0.000, 0.000, 0.000)
Ag (0.500, 0.500, 0.500)
Cl (0.000, 0.500, 0.500)
Cl (0.500, 0.000, 0.500)
Cl (0.500, 0.500, 0.000)

# 3
Computed, not measured: a geometry-optimized ScAgCl3 structure at the PBE level of DFT.

Values from the calculation:
Its symmetry is Pnma.

Unit cell a=6.520 b=11.672 c=6.174 alpha=90.00 beta=90.00 gamma=90.00
Atoms (fractional coordinates):
Sc (0.151, 0.250, 0.061)
Sc (0.349, 0.750, 0.561)
Sc (0.651, 0.250, 0.439)
Sc (0.849, 0.750, 0.939)
Ag (0.000, 0.000, 0.500)
Ag (0.000, 0.500, 0.500)
Ag (0.500, 0.000, 0.000)
Ag (0.500, 0.500, 0.000)
Cl (0.025, 0.750, 0.322)
Cl (0.147, 0.611, 0.827)
Cl (0.147, 0.889, 0.827)
Cl (0.353, 0.111, 0.327)
Cl (0.353, 0.389, 0.327)
Cl (0.475, 0.250, 0.822)
Cl (0.525, 0.750, 0.178)
Cl (0.647, 0.611, 0.673)
Cl (0.647, 0.889, 0.673)
Cl (0.853, 0.111, 0.173)
Cl (0.853, 0.389, 0.173)
Cl (0.975, 0.250, 0.678)

# 4
Computed, not measured: a geometry-optimized ScAgCl3 structure at the PBE level of DFT.

Values from the calculation:
Its symmetry is Pm-3m.

Unit cell a=4.997 b=4.997 c=4.997 alpha=90.00 beta=90.00 gamma=90.00
Atoms (fractional coordinates):
Sc (0.000, 0.000, 0.000)
Ag (0.500, 0.500, 0.500)
Cl (0.000, 0.000, 0.500)
Cl (0.000, 0.500, 0.000)
Cl (0.500, 0.000, 0.000)

One value per record, in order, for total moment: 0.001 0.238 0.191 0.027 μB per atom.
One value per record, in order, for polymorph energy (0 for the lowest one): 0.000 0.830 0.102 0.116 eV/atom.
One value per record, in order, for calculated volume: 241.5 130.4 469.9 124.8 Å³ per cell.